Density functional theory data (meta-GGA SCAN) for a PBEsol-optimized structure of Ru3Pt.

## Properties
E_form in meV/atom: 2
Magnetization in μB per formula unit: 0.00
SG: P-6m2 (187)
Final energy in eV/cell: -174.665

a = 2.7048 Å, b = 2.7048 Å, c = 8.6705 Å
α = 90.00°, β = 90.00°, γ = 120.00°
Atoms (fractional coordinates):
1 Ru 0.0000 0.0000 0.5000
2 Ru 0.6667 0.3333 0.7381
3 Ru 0.6667 0.3333 0.2619
4 Pt 0.0000 0.0000 0.0000

***

Density functional theory data (meta-GGA SCAN) for a PBEsol-optimized structure of RuPt3.

## Properties
E_form in meV/atom: -20
Magnetization in μB per formula unit: 0.01
SG: P4/mmm (123)
Final energy in eV/cell: -245.485

a = 2.7272 Å, b = 2.7272 Å, c = 7.8142 Å
α = 90.00°, β = 90.00°, γ = 90.00°
Atoms (fractional coordinates):
1 Ru 0.5000 0.5000 0.5000
2 Pt 0.0000 0.0000 0.7382
3 Pt 0.0000 0.0000 0.2618
4 Pt 0.5000 0.5000 0.0000

***

Density functional theory data (meta-GGA SCAN) for a PBEsol-optimized structure of Ru2Pt.

## Properties
E_form in meV/atom: -9
Magnetization in μB per formula unit: 0.00
E above lowest polymorph in meV per atom: 26
SG: Cmcm (63)
Final energy in eV/cell: -279.746

a = 3.8020 Å, b = 3.8053 Å, c = 6.0314 Å
α = 90.00°, β = 108.37°, γ = 90.00°
Atoms (fractional coordinates):
1 Pt 0.9148 0.7500 0.8296
2 Pt 0.0852 0.2500 0.1704
3 Ru 0.5896 0.7500 0.1793
4 Ru 0.4104 0.2500 0.8207
5 Ru 0.2473 0.7500 0.4946
6 Ru 0.7527 0.2500 0.5054

***

Density functional theory data (meta-GGA SCAN) for a PBEsol-optimized structure of Ru2Pt.

## Properties
E_form in meV/atom: 17
Magnetization in μB per formula unit: 0.00
E above lowest polymorph in meV per atom: 51
SG: P-3m1 (164)
Final energy in eV/cell: -139.796

a = 2.6944 Å, b = 2.6944 Å, c = 6.6297 Å
α = 90.00°, β = 90.00°, γ = 120.00°
Atoms (fractional coordinates):
1 Ru 0.6667 0.3333 0.3460
2 Ru 0.3333 0.6667 0.6540
3 Pt 0.0000 0.0000 0.0000

***

Density functional theory data (meta-GGA SCAN) for a PBEsol-optimized structure of RuPt3.

## Properties
E_form in meV/atom: 24
Magnetization in μB per formula unit: 0.01
SG: C2/m (12)
Final energy in eV/cell: -245.311

a = 2.7476 Å, b = 4.7239 Å, c = 4.7532 Å
α = 99.51°, β = 90.00°, γ = 106.91°
Atoms (fractional coordinates):
1 Ru 0.5000 0.0000 0.0000
2 Pt 0.7540 0.5081 0.7567
3 Pt 0.2460 0.4919 0.2433
4 Pt 0.0000 0.0000 0.5000

***

Density functional theory data (meta-GGA SCAN) for a PBEsol-optimized structure of Ru3Pt.

## Properties
E_form in meV/atom: 32
Magnetization in μB per formula unit: 0.00
SG: Pnma (62)
Final energy in eV/cell: -698.181

a = 4.6644 Å, b = 5.3851 Å, c = 8.7204 Å
α = 90.00°, β = 90.00°, γ = 90.00°
Atoms (fractional coordinates):
1 Pt 0.9142 0.3777 0.2500
2 Pt 0.5858 0.8777 0.7500
3 Pt 0.4142 0.1223 0.2500
4 Pt 0.0858 0.6223 0.7500
5 Ru 0.0820 0.1288 0.7500
6 Ru 0.7452 0.6249 0.0028
7 Ru 0.7452 0.6249 0.4972
8 Ru 0.7548 0.1249 0.5028
9 Ru 0.7548 0.1249 0.9972
10 Ru 0.4180 0.6288 0.2500
11 Ru 0.5820 0.3712 0.7500
12 Ru 0.2452 0.8751 0.0028
13 Ru 0.2452 0.8751 0.4972
14 Ru 0.2548 0.3751 0.5028
15 Ru 0.2548 0.3751 0.9972
16 Ru 0.9180 0.8712 0.2500

***

Density functional theory data (meta-GGA SCAN) for a PBEsol-optimized structure of Ru3Pt.

## Properties
E_form in meV/atom: 64
Magnetization in μB per formula unit: 0.00
SG: Cmmm (65)
Final energy in eV/cell: -174.415

a = 2.6801 Å, b = 4.6588 Å, c = 4.6588 Å
α = 109.74°, β = 90.00°, γ = 90.00°
Atoms (fractional coordinates):
1 Ru 0.5000 0.5000 0.0000
2 Ru 0.5000 0.0000 0.5000
3 Ru 0.0000 0.5000 0.5000
4 Pt 0.0000 0.0000 0.0000

***

Density functional theory data (meta-GGA SCAN) for a PBEsol-optimized structure of Ru3PtS.

## Properties
E_form (uncorrected) in meV per atom: 1946
Magnetization in μB per formula unit: 7.48
SG: Pm-3m (221)
Final energy in eV/cell: -174.567

a = 4.7198 Å, b = 4.7198 Å, c = 4.7198 Å
α = 90.00°, β = 90.00°, γ = 90.00°
Atoms (fractional coordinates):
1 Ru 0.0000 0.5000 0.0000
2 Ru 0.0000 0.0000 0.5000
3 Ru 0.5000 0.0000 0.0000
4 S 0.5000 0.5000 0.5000
5 Pt 0.0000 0.0000 0.0000

***

Density functional theory data (meta-GGA SCAN) for a PBEsol-optimized structure of TeRu2PtS.

## Properties
E_form (uncorrected) in meV per atom: 1219
Magnetization in μB per formula unit: 4.28
SG: P4/mmm (123)
Final energy in eV/cell: -180.631

a = 4.2527 Å, b = 4.9359 Å, c = 4.9359 Å
α = 90.00°, β = 90.00°, γ = 90.00°
Atoms (fractional coordinates):
1 Ru 0.0000 0.0000 0.5000
2 Ru 0.0000 0.5000 0.0000
3 S 0.5000 0.0000 0.0000
4 Te 0.5000 0.5000 0.5000
5 Pt 0.0000 0.0000 0.0000

***

Density functional theory data (meta-GGA SCAN) for a PBEsol-optimized structure of SbRu3Pt.

## Properties
E_form (uncorrected) in meV per atom: 1977
Magnetization in μB per formula unit: 4.85
SG: Pm-3m (221)
Final energy in eV/cell: -202.045

a = 4.6768 Å, b = 4.6768 Å, c = 4.6768 Å
α = 90.00°, β = 90.00°, γ = 90.00°
Atoms (fractional coordinates):
1 Sb 0.0000 0.0000 0.0000
2 Pt 0.5000 0.5000 0.5000
3 Ru 0.0000 0.5000 0.0000
4 Ru 0.0000 0.0000 0.5000
5 Ru 0.5000 0.0000 0.0000

***

Density functional theory data (meta-GGA SCAN) for a PBEsol-optimized structure of SbRu2Pt.

## Properties
E_form (uncorrected) in meV per atom: 362
Magnetization in μB per formula unit: 0.00
SG: Pmmm (47)
Final energy in eV/cell: -175.660

a = 2.8579 Å, b = 4.6096 Å, c = 4.7425 Å
α = 90.00°, β = 90.00°, γ = 90.00°
Atoms (fractional coordinates):
1 Pt 0.0000 0.5000 0.5000
2 Ru 0.0000 0.0000 0.0000
3 Ru 0.5000 0.0000 0.5000
4 Sb 0.5000 0.5000 0.0000

***

Density functional theory data (meta-GGA SCAN) for a PBEsol-optimized structure of SbRu2Pt.

## Properties
E_form (uncorrected) in meV per atom: 152
Magnetization in μB per formula unit: 0.00
SG: P4/mmm (123)
Final energy in eV/cell: -176.499

a = 3.0596 Å, b = 4.4739 Å, c = 4.4739 Å
α = 90.00°, β = 90.00°, γ = 90.00°
Atoms (fractional coordinates):
1 Pt 0.5000 0.0000 0.0000
2 Ru 0.0000 0.0000 0.5000
3 Ru 0.0000 0.5000 0.0000
4 Sb 0.5000 0.5000 0.5000